# CaScIr2Br

CaScIr2Br after structural relaxation (GGA-PBE, the Alexandria database).

Lattice parameters (Å, degrees): 4.798 4.798 4.928 90.00 90.00 90.00
Fractional coordinates of all 5 atoms:
Ca  0.000  0.000  0.000
Sc  0.500  0.500  0.000
Ir  0.000  0.500  0.500
Ir  0.500  0.000  0.500
Br  0.000  0.000  0.500

magnetic moment = 0.00 μB/f.u.
E_form (uncorrected) = 0.7143 eV/atom
density of states at the Fermi level = 5.69 states/eV per cell
crystal system = tetragonal